# DyTmGa4, relaxed, DFT PBE-GGA
data_DyTmGa4
_chemical_formula_sum 'Dy1 Tm1 Ga4'
_space_group_name_H-M_alt 'P 1'
_space_group_IT_number 1
_cell_length_a 4.239
_cell_length_b 5.771
_cell_length_c 5.771
_cell_angle_alpha 73.84
_cell_angle_beta 68.45
_cell_angle_gamma 68.45
loop_
_space_group_symop_operation_xyz
'x,y,z'
loop_
_atom_site_label
_atom_site_type_symbol
_atom_site_fract_x
_atom_site_fract_y
_atom_site_fract_z
Dy1 Dy 0.559 0.441 0.441
Tm1 Tm 0.439 0.061 0.061
Ga1 Ga 0.161 0.641 0.036
Ga2 Ga 0.840 0.861 0.460
Ga3 Ga 0.840 0.460 0.861
Ga4 Ga 0.161 0.036 0.641
# size of the total moment	0.00	μB per atom
# DOS at the Fermi energy	3.1	states/eV per cell
# energy of formation from the pure elements	-0.618	eV/atom
# electronic total energy	-4.15	eV per atom
# polymorph energy (0 for the lowest one)	0.0	meV/atom